Record 1
LaZr2Au2 | the Alexandria database | PBE | relaxed; theoretical density = 10.2 Mg/m³; E above lowest polymorph = 42 meV/atom; formation energy = -0.3473 eV per atom; total moment = 0.000 μB per formula unit
1.0
8.2139 0.0000 0.0000
0.0000 8.2139 0.0000
0.0000 0.0000 3.4520
La Zr Au
2 4 4
Cartesian
0.0000 0.0000 0.0000
4.1069 4.1069 0.0000
1.3732 2.7338 1.7260
2.7338 6.8407 1.7260
5.4801 1.3732 1.7260
6.8407 5.4801 1.7260
1.0238 5.1308 0.0000
3.0831 1.0238 0.0000
5.1308 7.1901 0.0000
7.1901 3.0831 0.0000

---

Record 2
LaZrAu | the Alexandria database | PBE | relaxed; theoretical density = 9.1 Mg/m³; formation energy = -0.3251 eV per atom; total moment = 0.000 μB per formula unit
1.0
-2.5471 4.3500 3.5325
2.5471 -4.3500 3.5325
2.5471 4.3500 -3.5325
La Zr Au
2 2 2
Cartesian
1.2736 1.6465 0.0000
1.2736 2.7036 3.5325
1.2736 -0.7373 4.7684
1.2736 5.0873 1.2359
1.2736 -0.8629 1.9900
1.2736 5.2130 -1.5426